Nd2HoC2Cl2 | PBE | optimized geometry

Cell lengths 4.5411, 4.5411, 14.6575 Å; angles 90.00, 90.00, 90.00 degrees
Closest atoms and distances in Å follow each position.
Space group I4/mmm (No. 139)
One atom of each set of equivalent atoms:
Nd  0.0000  0.0000  0.1055 (multiplicity 4)  4 C 2.75, 1 Cl 2.95
Ho  0.0000  0.0000  0.5000 (multiplicity 2)  4 C 2.27
C  0.0000  0.5000  0.0000 (multiplicity 4)  2 Ho 2.27
Cl  0.0000  0.0000  0.3067 (multiplicity 4)  1 Ho 2.83, 1 Nd 2.95

Values from the calculation:
ρ   6.02 Mg/m³
Magnetic moment   0.000 μB per formula unit
E_form (uncorrected)   -0.79 eV/atom